Entry 1:
A relaxed structure of AcNd2F, computed with PBE-GGA.

POSCAR file:
```
AcNd2F
1.0
1.9170 1.1068 9.9436
-1.9170 1.1068 9.9436
0.0000 -2.2135 9.9436
Ac Nd F
1 2 1
Direct
0.0000 0.0000 0.0000
0.1206 0.1206 0.1206
0.8794 0.8794 0.8794
0.5000 0.5000 0.5000
```

Summary:
volume: 126.6 Å³/cell
SG: No. 166
formation energy (no corrections): -955 meV/atom


Entry 2:
A relaxed structure of NaTbEr, computed with PBE-GGA.

POSCAR file:
```
NaTbEr
1.0
-1.7387 1.7387 8.1095
1.7387 -1.7387 8.1095
1.7387 1.7387 -8.1095
Na Tb Er
1 1 1
Direct
0.0000 0.0000 0.0000
0.3226 0.3226 0.0000
0.6753 0.6753 0.0000
```

Summary:
volume: 98.1 Å³/cell
ΔE to the lowest computed polymorph: 0.0207 eV per atom
SG: No. 107
formation energy from the elements: 0.164 eV/atom


Entry 3:
A relaxed structure of Sc6As2PtSe3, computed with PBE-GGA.

POSCAR file:
```
Sc6As2PtSe3
1.0
8.5096 -1.9258 0.0000
8.5096 1.9258 0.0000
-1.8740 0.0000 7.5801
Sc As Pt Se
6 2 1 3
Direct
0.0013 0.0013 0.2401
0.3297 0.3297 0.4241
0.3352 0.3352 0.9112
0.6648 0.6648 0.0888
0.6703 0.6703 0.5759
0.9987 0.9987 0.7599
0.1661 0.1661 0.3329
0.8339 0.8339 0.6671
0.5000 0.5000 0.0000
0.1687 0.1687 0.8316
0.5000 0.5000 0.5000
0.8313 0.8313 0.1684
```

Summary:
volume: 248.4 Å³/cell
SG: No. 12
formation energy (no corrections): -1456 meV/atom


Entry 4:
A relaxed structure of CsZr2Cu2Se6, computed with PBE-GGA.

POSCAR file:
```
CsZr2Cu2Se6
1.0
7.3762 0.0000 0.0000
-3.2491 6.6656 0.0000
-3.3812 -2.2115 6.6341
Cs Zr Cu Se
1 2 2 6
Direct
0.0000 0.0000 0.0000
0.3232 0.6375 0.9753
0.6768 0.3625 0.0247
0.2829 0.5703 0.5686
0.7171 0.4297 0.4314
0.1547 0.5323 0.2318
0.2668 0.3189 0.7409
0.4013 0.8976 0.7724
0.5987 0.1024 0.2276
0.7332 0.6811 0.2591
0.8453 0.4677 0.7682
```

Summary:
volume: 326.2 Å³/cell
SG: No. 2
formation energy (no corrections): -862 meV/atom


Entry 5:
A relaxed structure of BaTl4Ag, computed with PBE-GGA.

POSCAR file:
```
BaTl4Ag
1.0
5.4557 0.0000 0.0000
0.0000 5.4557 0.0000
0.0000 0.0000 8.4300
Ba Tl Ag
1 4 1
Direct
0.0000 0.0000 0.0000
0.0000 0.5000 0.5000
0.5000 0.0000 0.5000
0.5000 0.5000 0.1704
0.5000 0.5000 0.8296
0.5000 0.5000 0.5000
```

Summary:
volume: 250.9 Å³/cell
ΔE to the lowest computed polymorph: 0.3425 eV per atom
SG: No. 123
formation energy from the elements: 0.147 eV/atom


Entry 6:
A relaxed structure of LaIrRh2, computed with PBE-GGA.

POSCAR file:
```
LaIrRh2
1.0
1.4440 0.8337 9.6046
-1.4440 0.8337 9.6046
0.0000 -1.6673 9.6046
La Ir Rh
1 1 2
Direct
0.0000 0.0000 0.0000
0.5000 0.5000 0.5000
0.2404 0.2404 0.2404
0.7596 0.7596 0.7596
```

Summary:
volume: 69.4 Å³/cell
ΔE to the lowest computed polymorph: 0.8365 eV per atom
SG: No. 166
formation energy from the elements: 0.337 eV/atom


Entry 7:
A relaxed structure of Pu2GeSe6, computed with PBE-GGA.

POSCAR file:
```
Pu2GeSe6
1.0
6.4040 0.0000 0.0000
0.0000 6.4040 0.0000
0.0000 0.0000 12.6036
Pu Ge Se
4 2 12
Direct
0.0000 0.0000 0.1668
0.0000 0.0000 0.8332
0.5000 0.5000 0.3332
0.5000 0.5000 0.6668
0.0000 0.0000 0.5000
0.5000 0.5000 0.0000
0.1920 0.1920 0.3398
0.1920 0.1920 0.6602
0.2013 0.2013 0.0000
0.2987 0.7013 0.5000
0.3080 0.6920 0.1602
0.3080 0.6920 0.8398
0.6920 0.3080 0.1602
0.6920 0.3080 0.8398
0.7013 0.2987 0.5000
0.7987 0.7987 0.0000
0.8080 0.8080 0.3398
0.8080 0.8080 0.6602
```

Summary:
volume: 516.9 Å³/cell
SG: No. 136
formation energy (no corrections): -699 meV/atom


Entry 8:
A relaxed structure of LaCuNi3, computed with PBE-GGA.

POSCAR file:
```
LaCuNi3
1.0
4.6846 0.0000 0.0000
0.0000 4.6846 0.0000
0.0000 0.0000 4.6846
La Cu Ni
1 1 3
Direct
0.0000 0.0000 0.0000
0.5000 0.5000 0.5000
0.0000 0.0000 0.5000
0.0000 0.5000 0.0000
0.5000 0.0000 0.0000
```

Summary:
volume: 102.8 Å³/cell
ΔE to the lowest computed polymorph: 1.5898 eV per atom
SG: No. 221
formation energy from the elements: 1.377 eV/atom


Entry 9:
A relaxed structure of LaSiRh2, computed with PBE-GGA.

POSCAR file:
```
LaSiRh2
1.0
3.6521 0.0000 0.0000
0.0000 4.2104 0.0000
0.0000 0.0000 5.6178
La Si Rh
1 1 2
Direct
0.0000 0.0000 0.0000
0.0000 0.5000 0.5000
0.5000 0.5000 0.2441
0.5000 0.5000 0.7559
```

Summary:
volume: 86.4 Å³/cell
SG: No. 47
formation energy (no corrections): -637 meV/atom


Entry 10:
A relaxed structure of SmIn3Ni8, computed with PBE-GGA.

POSCAR file:
```
SmIn3Ni8
1.0
2.4831 1.4336 8.1964
-2.4831 1.4336 8.1964
0.0000 -2.8673 8.1964
Sm In Ni
1 3 8
Direct
0.0000 0.0000 0.0000
0.3818 0.3818 0.3818
0.5031 0.5031 0.5031
0.8738 0.8738 0.8738
0.1883 0.1883 0.1883
0.4367 0.4367 0.9359
0.4367 0.9359 0.4367
0.4435 0.9383 0.9383
0.6888 0.6888 0.6888
0.9359 0.4367 0.4367
0.9383 0.4435 0.9383
0.9383 0.9383 0.4435
```

Summary:
volume: 175.1 Å³/cell
SG: No. 160
formation energy from the elements: -0.190 eV/atom


Entry 11:
A relaxed structure of CaNi3, computed with PBE-GGA.

POSCAR file:
```
CaNi3
1.0
3.8540 0.0000 0.0000
0.0000 3.8540 0.0000
0.0000 0.0000 3.8540
Ca Ni
1 3
Direct
0.0000 0.0000 0.0000
0.0000 0.5000 0.5000
0.5000 0.0000 0.5000
0.5000 0.5000 0.0000
```

Summary:
volume: 57.2 Å³/cell
SG: No. 221
formation energy from the elements: 0.189 eV/atom


Entry 12:
A relaxed structure of Dy3ThPt12, computed with PBE-GGA.

POSCAR file:
```
Dy3ThPt12
1.0
4.1519 0.0000 0.0000
0.0000 4.1519 0.0000
0.0000 0.0000 16.5567
Dy Th Pt
3 1 12
Direct
0.0000 0.0000 0.0000
0.0000 0.0000 0.2454
0.0000 0.0000 0.7546
0.0000 0.0000 0.5000
0.0000 0.5000 0.1230
0.0000 0.5000 0.3710
0.0000 0.5000 0.6290
0.0000 0.5000 0.8770
0.5000 0.0000 0.1230
0.5000 0.0000 0.3710
0.5000 0.0000 0.6290
0.5000 0.0000 0.8770
0.5000 0.5000 0.0000
0.5000 0.5000 0.2468
0.5000 0.5000 0.5000
0.5000 0.5000 0.7532
```

Summary:
volume: 285.4 Å³/cell
SG: No. 123
formation energy from the elements: -1.065 eV/atom